# KCd2W PBEsol optimized geometry
data_KCd2W
_cell_length_a 4.9993
_cell_length_b 4.9993
_cell_length_c 4.9993
_cell_angle_alpha 60.00
_cell_angle_beta 60.00
_cell_angle_gamma 60.00
_symmetry_space_group_name_H-M 'P 1'
_symmetry_Int_Tables_number 1
_symmetry_space_group_name_Hall 'P 1'
loop_
_atom_site_label
_atom_site_fract_x
_atom_site_fract_y
_atom_site_fract_z
Cd1 0.0000 0.0000 0.0000
Cd2 0.7500 0.7500 0.7500
W1 0.2500 0.2500 0.2500
K1 0.5000 0.5000 0.5000
# Relative energy among the computed polymorphs ... 733 meV per atom
# Energy ... -2.99 eV per atom
# Crystal system ... cubic
# Calculated formation energy ... 129.59 kJ per mole of atoms